DFT (GGA-PBE) results for LiCuAs after structural relaxation.

For the volume, the calculation gives 15.02 Å³ per atom. As for the space group: Pnma. For the total energy, the calculation gives -3.795 eV/atom.

Unit cell a=6.3221 b=3.9093 c=7.2928 alpha=90.00 beta=90.00 gamma=90.00
Atoms (fractional coordinates):
As 0.2718 0.2500 0.1209
As 0.7282 0.7500 0.8791
As 0.7718 0.2500 0.3791
As 0.2282 0.7500 0.6209
Cu 0.1572 0.2500 0.4367
Cu 0.6572 0.2500 0.0633
Cu 0.8428 0.7500 0.5633
Cu 0.3428 0.7500 0.9367
Li 0.4794 0.7500 0.3165
Li 0.9794 0.7500 0.1835
Li 0.0206 0.2500 0.8165
Li 0.5206 0.2500 0.6835